CaRuBr2: optimized geometry, PBE.

Output
The volume comes out at 388.1 Å³ per cell. The calculated total energy is -13.95 eV per formula unit. Its uncorrected formation energy is 0.17 eV per atom. The calculation puts the density of states at the Fermi level at 0.908 states/eV per atom. The distance to the lowest polymorph of the same formula is 734 meV/atom.

abc: 7.294 7.294 7.294
angles: 90.00 90.00 90.00
Space group F-43m (No. 216)
One atom of each set of equivalent atoms:
Ca 0.000 0.000 0.000 [4 per cell]
Ru 0.250 0.250 0.250 [4 per cell]
Br 0.000 0.000 0.500 [4 per cell]
Br 0.250 0.250 0.750 [4 per cell]

---

CaRu4Br: optimized geometry, PBE.

Output
The volume comes out at 431.5 Å³ per cell. The calculated total energy is -36.74 eV per formula unit. Its uncorrected formation energy is 0.67 eV per atom. The calculation puts the density of states at the Fermi level at 1.422 states/eV per atom.

abc: 7.557 7.557 7.557
angles: 90.00 90.00 90.00
Space group F-43m (No. 216)
One atom of each set of equivalent atoms:
Ca 0.000 0.000 0.000 [4 per cell]
Ru 0.125 0.125 0.625 [16 per cell]
Br 0.250 0.250 0.250 [4 per cell]

---

CaRuBr2: optimized geometry, PBE.

Output
The volume comes out at 348.7 Å³ per cell. The calculated total energy is -15.60 eV per formula unit. Its uncorrected formation energy is -0.24 eV per atom. The calculation puts the density of states at the Fermi level at 0.872 states/eV per atom. The distance to the lowest polymorph of the same formula is 321 meV/atom.

abc: 7.039 7.039 7.039
angles: 90.00 90.00 90.00
Space group Fm-3m (No. 225)
One atom of each set of equivalent atoms:
Ca 0.000 0.000 0.000 [4 per cell]
Ru 0.000 0.000 0.500 [4 per cell]
Br 0.250 0.250 0.250 [8 per cell]

---

CaRuBr: optimized geometry, PBE.

Output
The volume comes out at 69.9 Å³ per cell. The calculated total energy is -12.43 eV per formula unit. Its uncorrected formation energy is 0.17 eV per atom. The calculation puts the density of states at the Fermi level at 0.929 states/eV per atom. The distance to the lowest polymorph of the same formula is 207 meV/atom.

abc: 3.5338 3.5338 6.4602
angles: 90.00 90.00 120.00
Space group P3m1 (No. 156)
One atom of each set of equivalent atoms:
Ca 0.0000 0.0000 0.0000 [1 per cell]
Ru 0.6667 0.3333 0.3390 [1 per cell]
Br 0.3333 0.6667 0.6616 [1 per cell]

---

CaRu2Br: optimized geometry, PBE.

Output
The volume comes out at 167.5 Å³ per cell. The calculated total energy is -22.30 eV per formula unit. Its uncorrected formation energy is -0.02 eV per atom. The calculation puts the density of states at the Fermi level at 0.725 states/eV per atom. The distance to the lowest polymorph of the same formula is 31 meV/atom.

abc: 3.309 3.299 15.348
angles: 90.00 90.00 90.00
Space group Amm2 (No. 38)
One atom of each set of equivalent atoms:
Ca 0.000 0.000 0.000 [2 per cell]
Ru 0.000 0.000 0.205 [2 per cell]
Ru 0.500 0.000 0.642 [2 per cell]
Br 0.500 0.000 0.382 [2 per cell]

---

CaRuBr2: optimized geometry, PBE.

Output
The volume comes out at 410.2 Å³ per cell. The calculated total energy is -15.64 eV per formula unit. Its uncorrected formation energy is -0.26 eV per atom. The calculation puts the density of states at the Fermi level at 0.033 states/eV per atom. The distance to the lowest polymorph of the same formula is 311 meV/atom.

abc: 5.045 5.045 16.116
angles: 90.00 90.00 90.00
Space group I-42d (No. 122)
One atom of each set of equivalent atoms:
Ca 0.000 0.000 0.000 [4 per cell]
Ru 0.000 0.000 0.500 [4 per cell]
Br 0.199 0.250 0.625 [8 per cell]